# 1
A plane-wave DFT calculation with GGA-PBE was carried out for an optimized crystal structure of Sr2MgPb.

a = 3.9890 Å, b = 5.0907 Å, c = 7.2909 Å
α = 90.00°, β = 90.00°, γ = 90.00°
Last column: nearest neighbours and their distance in Å.
Element x y z (fractional)
1 Mg 0.0000 0.0000 0.4951  5 Sr 3.36-3.56
2 Pb 0.5000 0.5000 0.7585  5 Sr 3.41-3.54, 4 Mg 3.76
3 Sr 0.5000 0.5000 0.2908  1 Pb 3.41, 4 Mg 3.56
4 Sr 0.0000 0.0000 0.9555  1 Mg 3.36, 4 Pb 3.54

Output
- VASP energy (eV per atom) = -2.309
- energy of formation from the pure elements (meV per atom) = -143

# 2
A plane-wave DFT calculation with GGA-PBE was carried out for an optimized crystal structure of BPdS.

a = 3.0057 Å, b = 5.5523 Å, c = 5.9674 Å
α = 93.81°, β = 97.87°, γ = 104.61°
Last column: nearest neighbours and their distance in Å.
Element x y z (fractional)
1 Pd 0.5473 0.7232 0.1800  1 B 2.34, 2 S 2.36-2.39
2 B 0.1080 0.6527 0.6183  1 B 1.68, 2 S 1.87-1.88
3 B 0.2695 0.8713 0.8440  1 B 1.68, 2 S 1.86-1.87
4 S 0.4959 0.4800 0.4958  2 B 1.87-1.88
5 Pd 0.2758 0.0262 0.5040  2 B 2.18-2.26, 1 S 2.44
6 S 0.8808 0.0436 0.9660  2 B 1.86-1.87

Output
- distance to the lowest polymorph of the same formula (meV per atom) = 41
- VASP energy (eV per atom) = -5.502
- uncorrected formation energy (eV per atom) = -0.170

# 3
A plane-wave DFT calculation with GGA-PBE was carried out for an optimized crystal structure of ReSb2As.

a = 4.8186 Å, b = 4.8186 Å, c = 5.5884 Å
α = 79.38°, β = 79.38°, γ = 41.14°
Last column: nearest neighbours and their distance in Å.
Element x y z (fractional)
1 Sb 0.5191 0.5191 0.4723  3 Re 2.78-2.94, 3 As 2.83-3.11, 2 Sb 3.08
2 Re 0.2500 0.2500 0.2500  6 Sb 2.78-2.94
3 Sb 0.9809 0.9809 0.0277  3 Re 2.78-2.94, 3 As 2.83-3.11, 2 Sb 3.08
4 As 0.7500 0.7500 0.7500  6 Sb 2.83-3.11

Output
- VASP energy (eV per atom) = -5.726
- uncorrected formation energy (eV per atom) = 0.610

# 4
A plane-wave DFT calculation with GGA-PBE was carried out for an optimized crystal structure of Sc2CdAg.

a = 5.4748 Å, b = 5.4748 Å, c = 5.4748 Å
α = 133.80°, β = 133.80°, γ = 67.41°
Last column: nearest neighbours and their distance in Å.
Element x y z (fractional)
1 Cd 0.7500 0.2500 0.5000  8 Sc 3.04-3.13, 4 Ag 3.13
2 Sc 0.0000 0.0000 0.0000  4 Ag 3.04, 4 Cd 3.13, 4 Sc 3.13
3 Ag 0.5000 0.5000 0.0000  8 Sc 3.04-3.13, 4 Cd 3.13
4 Sc 0.2500 0.7500 0.5000  4 Cd 3.04, 4 Sc 3.13, 4 Ag 3.13

Output
- VASP energy (eV per atom) = -4.235
- energy of formation from the pure elements (meV per atom) = -128

# 5
A plane-wave DFT calculation with GGA-PBE was carried out for an optimized crystal structure of AlCdAs.

a = 4.5733 Å, b = 4.5733 Å, c = 4.5733 Å
α = 60.00°, β = 60.00°, γ = 60.00°
Last column: nearest neighbours and their distance in Å.
Element x y z (fractional)
1 Cd 0.5000 0.5000 0.5000  4 Al 2.80
2 Al 0.7500 0.7500 0.7500  4 Cd 2.80, 4 As 2.80
3 As 0.0000 0.0000 0.0000  4 Al 2.80

Output
- distance to the lowest polymorph of the same formula (meV per atom) = 0
- VASP energy (eV per atom) = -2.996
- energy of formation from the pure elements (meV per atom) = 106

# 6
A plane-wave DFT calculation with GGA-PBE was carried out for an optimized crystal structure of Pm4Pr3Ga.

a = 3.6698 Å, b = 3.6698 Å, c = 19.4815 Å
α = 90.00°, β = 90.00°, γ = 90.00°
Last column: nearest neighbours and their distance in Å.
Element x y z (fractional)
1 Ga 0.5000 0.5000 0.0000  8 Pm 3.17
2 Pr 0.5000 0.5000 0.2307  4 Pr 3.67, 8 Pm 3.68-3.72
3 Pm 0.0000 0.0000 0.9063  4 Ga 3.17
4 Pm 0.0000 0.0000 0.3649  4 Pm 3.67, 8 Pr 3.68-3.70
5 Pm 0.0000 0.0000 0.0937  4 Ga 3.17
6 Pr 0.5000 0.5000 0.7693  4 Pr 3.67, 8 Pm 3.68-3.72
7 Pm 0.0000 0.0000 0.6351  4 Pm 3.67, 8 Pr 3.68-3.70
8 Pr 0.5000 0.5000 0.5000  4 Pr 3.67, 8 Pm 3.70

Output
- VASP energy (eV per atom) = -4.667
- energy of formation from the pure elements (meV per atom) = -121